i) This record from Alexandria via LeMat-Bulk describes a relaxed CdHAu crystal. The functional is PBE.

Cell and atoms, written as CIF:
```
data_CdHAu
_chemical_formula_sum 'Cd1 H1 Au1'
_space_group_name_H-M_alt 'P 1'
_space_group_IT_number 1
_cell_length_a 3.082
_cell_length_b 3.191
_cell_length_c 5.237
_cell_angle_alpha 107.06
_cell_angle_beta 105.49
_cell_angle_gamma 90.65
loop_
_space_group_symop_operation_xyz
'x,y,z'
loop_
_atom_site_label
_atom_site_type_symbol
_atom_site_fract_x
_atom_site_fract_y
_atom_site_fract_z
_atom_site_occupancy
Cd1 Cd 0.000 0.000 0.000 1
H1 H 0.780 0.288 0.599 1
Au1 Au 0.680 0.696 0.408 1
```

ii) This record from Alexandria via LeMat-Bulk describes a relaxed CdHAu crystal. The functional is PBE.

Cell and atoms, written as CIF:
```
data_CdHAu
_chemical_formula_sum 'Cd1 H1 Au1'
_space_group_name_H-M_alt 'P 3 m 1'
_space_group_IT_number 156
_cell_length_a 3.4112
_cell_length_b 3.4112
_cell_length_c 4.4609
_cell_angle_alpha 90.00
_cell_angle_beta 90.00
_cell_angle_gamma 120.00
loop_
_space_group_symop_operation_xyz
'x,y,z'
'-y,x-y,z'
'-x+y,-x,z'
'-y,-x,z'
'-x+y,y,z'
'x,x-y,z'
loop_
_atom_site_label
_atom_site_type_symbol
_atom_site_fract_x
_atom_site_fract_y
_atom_site_fract_z
_atom_site_occupancy
Cd1 Cd 0.0000 0.0000 0.0000 1
H1 H 0.6667 0.3333 0.5013 1
Au1 Au 0.3333 0.6667 0.4998 1
```

iii) This record from Alexandria via LeMat-Bulk describes a relaxed CdHAu crystal. The functional is PBE.

Cell and atoms, written as CIF:
```
data_CdHAu
_chemical_formula_sum 'Cd2 H2 Au2'
_space_group_name_H-M_alt 'P -1'
_space_group_IT_number 2
_cell_length_a 3.547
_cell_length_b 4.711
_cell_length_c 6.156
_cell_angle_alpha 89.45
_cell_angle_beta 73.55
_cell_angle_gamma 89.92
loop_
_space_group_symop_operation_xyz
'x,y,z'
'-x,-y,-z'
loop_
_atom_site_label
_atom_site_type_symbol
_atom_site_fract_x
_atom_site_fract_y
_atom_site_fract_z
_atom_site_occupancy
Cd1 Cd 0.114 0.261 0.266 1
H1 H 0.277 0.272 0.939 1
Au1 Au 0.424 0.237 0.651 1
```

iii) is preferred energetically. Next in line: 6.1 kJ/mol of atoms higher.